5
Lattice="4.991 0.000 0.000 0.000 4.991 0.000 0.000 0.000 4.518" Properties=species:S:1:pos:R:3 comment="CrFe2TcF, optimized geometry, DFT PBE+U" dft_energy_ev_per_cell=-23.95 m_tot_mub_per_cell=7.94 n_ef_per_ev_fu=4.48 pbc="T T T"
Cr 0.000 0.000 0.000
Fe 0.000 2.495 2.259
Fe 2.495 0.000 2.259
Tc 0.000 0.000 2.259
F 2.495 2.495 0.000